A plane-wave DFT calculation with PBE+U was carried out for crystalline Fe2AgF at its relaxed geometry.

Cell: 5.5672 5.5672 5.5672 Å, 109.08 109.08 110.26°
Last column: nearest neighbours and their distance in Å.
Fractional coordinates of all 8 atoms:
Fe: 0.0608 0.6250 0.9358  2 F 2.16
Fe: 0.3750 0.3108 0.4358  2 F 2.16
Fe: 0.6892 0.1250 0.0642  2 F 2.16
Fe: 0.8750 0.9392 0.5642  2 F 2.16
Ag: 0.2500 0.7500 0.5000  4 Fe 2.71
Ag: 0.5000 0.5000 0.0000  4 Fe 2.71
F: 0.0000 0.0000 0.0000  4 Fe 2.16
F: 0.7500 0.2500 0.5000  4 Fe 2.16

Properties
electronic total energy = -4.150 eV/atom
M_tot = 1.93 μB per atom
relative energy among the computed polymorphs = 0 meV/atom
V = 66.4 Å³/f.u.